First-principles (PBE) data for a relaxed CeSm2Cu crystal, as listed in Alexandria via LeMat-Bulk.

abc: 11.2572 11.2572 11.2572
angles: 17.31 17.31 17.31
With the nearest neighbours (Å) after each atom.
Positions (direct):
Ce1 0.0000 0.0000 0.0000  2 Sm 3.34, 6 Ce 3.39
Sm1 0.1005 0.1005 0.1005  3 Cu 2.94
Sm2 0.8995 0.8995 0.8995  3 Cu 2.94
Cu1 0.5000 0.5000 0.5000  6 Sm 2.94

Output
- distance to the lowest polymorph of the same formula (kJ per mole of atoms) = 26.6
- total magnetic moment (μB/f.u.) = 0.5
- uncorrected energy (Ha/atom) = -0.1696
- energy of formation (eV per atom) = 0.251